{
  "formula": "InCoAsO",
  "functional": "GGA+U",
  "state": "relaxed",
  "de_polymorph_mev_per_atom": 125,
  "cell": [[-1.3106, 1.9368, -3.0593], [-2.3070, -2.9544, -0.8820], [-6.2112, 3.4111, 4.8204]],
  "species": ["As", "As", "Co", "Co", "In", "In", "O", "O"],
  "frac_coords": [[0.5000, 0.0000, 0.3268], [0.0000, 0.5000, 0.6732], [0.0000, 0.0000, 0.5000], [0.5000, 0.5000, 0.5000], [0.0000, 0.5000, 0.1243], [0.5000, 0.0000, 0.8757], [0.0000, 0.0000, 0.0000], [0.5000, 0.5000, 0.0000]]
}